(1)
Computed, not measured: a relaxed structure of CsLu7Se11 at the PBE-GGA level of DFT.

abc: 10.6278 10.6278 19.6731
angles: 90.00 90.00 97.92
Last column: nearest neighbours and their distance in Å.
Sites, in units of the cell vectors:
Cs: 0.0862 0.0862 0.5973  5 Se 3.65-4.04
Cs: 0.9138 0.9138 0.4027  5 Se 3.65-4.04
Cs: 0.4138 0.4138 0.0973  5 Se 3.65-4.04
Cs: 0.5862 0.5862 0.9027  5 Se 3.65-4.04
Lu: 0.4054 0.4054 0.6750  6 Se 2.72-2.90
Lu: 0.5946 0.5946 0.3250  6 Se 2.72-2.90
Lu: 0.0946 0.0946 0.1750  6 Se 2.72-2.90
Lu: 0.9054 0.9054 0.8250  6 Se 2.72-2.90
Lu: 0.3012 0.0473 0.8283  6 Se 2.74-2.94
Lu: 0.9527 0.6988 0.1717  6 Se 2.74-2.94
Lu: 0.4527 0.1988 0.3283  6 Se 2.74-2.94
Lu: 0.8012 0.5473 0.6717  6 Se 2.74-2.94
Lu: 0.6988 0.9527 0.1717  6 Se 2.74-2.94
Lu: 0.0473 0.3012 0.8283  6 Se 2.74-2.94
Lu: 0.5473 0.8012 0.6717  6 Se 2.74-2.94
Lu: 0.1988 0.4527 0.3283  6 Se 2.74-2.94
Lu: 0.6244 0.3756 0.5000  6 Se 2.79-2.86
Lu: 0.1244 0.8756 0.0000  6 Se 2.79-2.86
Lu: 0.3756 0.6244 0.5000  6 Se 2.79-2.86
Lu: 0.8756 0.1244 0.0000  6 Se 2.79-2.86
Lu: 0.6715 0.1649 0.6596  6 Se 2.72-2.87
Lu: 0.8351 0.3285 0.3404  6 Se 2.72-2.87
Lu: 0.3351 0.8285 0.1596  6 Se 2.72-2.87
Lu: 0.1715 0.6649 0.8404  6 Se 2.72-2.87
Lu: 0.3285 0.8351 0.3404  6 Se 2.72-2.87
Lu: 0.1649 0.6715 0.6596  6 Se 2.72-2.87
Lu: 0.6649 0.1715 0.8404  6 Se 2.72-2.87
Lu: 0.8285 0.3351 0.1596  6 Se 2.72-2.87
Lu: 0.5000 0.0000 0.5000  6 Se 2.78-2.85
Lu: 0.0000 0.5000 0.5000  6 Se 2.78-2.85
Lu: 0.5000 0.0000 0.0000  6 Se 2.78-2.85
Lu: 0.0000 0.5000 0.0000  6 Se 2.78-2.85
Se: 0.4614 0.2123 0.5820  4 Lu 2.79-2.87
Se: 0.7877 0.5386 0.4180  4 Lu 2.79-2.87
Se: 0.2877 0.0386 0.0820  4 Lu 2.79-2.87
Se: 0.9614 0.7123 0.9180  4 Lu 2.79-2.87
Se: 0.5386 0.7877 0.4180  4 Lu 2.79-2.87
Se: 0.2123 0.4614 0.5820  4 Lu 2.79-2.87
Se: 0.7123 0.9614 0.9180  4 Lu 2.79-2.87
Se: 0.0386 0.2877 0.0820  4 Lu 2.79-2.87
Se: 0.6272 0.3692 0.7462  4 Lu 2.81-2.87
Se: 0.6308 0.3728 0.2538  4 Lu 2.81-2.87
Se: 0.1308 0.8728 0.2462  4 Lu 2.81-2.87
Se: 0.1272 0.8692 0.7538  4 Lu 2.81-2.87
Se: 0.3728 0.6308 0.2538  4 Lu 2.81-2.87
Se: 0.3692 0.6272 0.7462  4 Lu 2.81-2.87
Se: 0.8692 0.1272 0.7538  4 Lu 2.81-2.87
Se: 0.8728 0.1308 0.2462  4 Lu 2.81-2.87
Se: 0.3402 0.8309 0.5826  4 Lu 2.79-2.87
Se: 0.1691 0.6599 0.4174  4 Lu 2.79-2.87
Se: 0.6691 0.1598 0.0826  4 Lu 2.79-2.87
Se: 0.8402 0.3309 0.9174  4 Lu 2.79-2.87
Se: 0.6599 0.1691 0.4174  4 Lu 2.79-2.87
Se: 0.8309 0.3402 0.5826  4 Lu 2.79-2.87
Se: 0.3309 0.8402 0.9174  4 Lu 2.79-2.87
Se: 0.1598 0.6691 0.0826  4 Lu 2.79-2.87
Se: 0.7008 0.9572 0.5832  3 Lu 2.72-2.78
Se: 0.0428 0.2992 0.4168  3 Lu 2.72-2.78
Se: 0.5428 0.7992 0.0832  3 Lu 2.72-2.78
Se: 0.2008 0.4572 0.9168  3 Lu 2.72-2.78
Se: 0.2992 0.0428 0.4168  3 Lu 2.72-2.78
Se: 0.9572 0.7008 0.5832  3 Lu 2.72-2.78
Se: 0.4572 0.2008 0.9168  3 Lu 2.72-2.78
Se: 0.7992 0.5428 0.0832  3 Lu 2.72-2.78
Se: 0.2393 0.2393 0.7476  3 Lu 2.72-2.74
Se: 0.7607 0.7607 0.2524  3 Lu 2.72-2.74
Se: 0.2607 0.2607 0.2476  3 Lu 2.72-2.74
Se: 0.7393 0.7393 0.7524  3 Lu 2.72-2.74
Se: 0.0753 0.0753 0.9103  5 Lu 2.86-2.94
Se: 0.9247 0.9247 0.0897  5 Lu 2.86-2.94
Se: 0.4247 0.4247 0.4103  5 Lu 2.86-2.94
Se: 0.5753 0.5753 0.5897  5 Lu 2.86-2.94
Se: 0.5100 0.0100 0.7500  4 Lu 2.77-2.83
Se: 0.9900 0.4900 0.2500  4 Lu 2.77-2.83
Se: 0.4900 0.9900 0.2500  4 Lu 2.77-2.83
Se: 0.0100 0.5100 0.7500  4 Lu 2.77-2.83

Summary:
VASP energy   -5.57 eV/atom
V   2200.9 Å³/cell

---

(2)
Computed, not measured: a relaxed structure of CsSm2Lu at the PBE-GGA level of DFT.

abc: 3.6662 3.6662 13.3758
angles: 82.12 82.12 60.00
Last column: nearest neighbours and their distance in Å.
Sites, in units of the cell vectors:
Cs: 0.0000 0.0000 0.0000  6 Cs 3.67, 2 Sm 3.83
Lu: 0.5000 0.5000 0.5000  6 Sm 3.49, 6 Lu 3.67
Sm: 0.0966 0.0966 0.7103  3 Lu 3.49, 6 Sm 3.67, 1 Cs 3.83
Sm: 0.9034 0.9034 0.2897  3 Lu 3.49, 6 Sm 3.67, 1 Cs 3.83

Summary:
DFT formation energy   306 meV/atom
VASP energy   -3.40 eV/atom
V   153.7 Å³/cell